Record 1
MgZnRh2: optimized geometry, GGA-PBE.

```
data_MgZnRh2
_space_group_name_H-M_alt 'P 1'
_space_group_IT_number 1
_cell_length_a 2.821
_cell_length_b 3.987
_cell_length_c 5.417
_cell_angle_alpha 90.00
_cell_angle_beta 101.36
_cell_angle_gamma 90.00
loop_
_space_group_symop_operation_xyz
'x,y,z'
loop_
_atom_site_label
_atom_site_type_symbol
_atom_site_fract_x
_atom_site_fract_y
_atom_site_fract_z
_atom_site_occupancy
Mg1 Mg 0.000 0.000 0.000 1
Zn1 Zn 0.000 0.000 0.500 1
Rh1 Rh 0.392 0.500 0.739 1
Rh2 Rh 0.608 0.500 0.261 1
```

Properties
Spin magnetization, Bohr magnetons per cell: 0.00
Space-group type: P2/m (10)
E, eV per atom: -4.696
Formation enthalpy at 0 K, eV per atom: -0.30



Record 2
Sc3HgO: optimized geometry, GGA-PBE.

```
data_Sc3HgO
_space_group_name_H-M_alt 'P 1'
_space_group_IT_number 1
_cell_length_a 7.867
_cell_length_b 5.826
_cell_length_c 8.850
_cell_angle_alpha 90.00
_cell_angle_beta 114.59
_cell_angle_gamma 90.00
loop_
_space_group_symop_operation_xyz
'x,y,z'
loop_
_atom_site_label
_atom_site_type_symbol
_atom_site_fract_x
_atom_site_fract_y
_atom_site_fract_z
_atom_site_occupancy
Sc1 Sc 0.053 0.084 0.350 1
Sc2 Sc 0.053 0.416 0.850 1
Sc3 Sc 0.191 0.563 0.539 1
Sc4 Sc 0.191 0.937 0.039 1
Sc5 Sc 0.354 0.138 0.772 1
Sc6 Sc 0.354 0.362 0.272 1
Sc7 Sc 0.646 0.638 0.728 1
Sc8 Sc 0.646 0.862 0.228 1
Sc9 Sc 0.809 0.063 0.961 1
Sc10 Sc 0.809 0.437 0.461 1
Sc11 Sc 0.947 0.584 0.150 1
Sc12 Sc 0.947 0.916 0.650 1
Hg1 Hg 0.392 0.674 0.889 1
Hg2 Hg 0.392 0.826 0.389 1
Hg3 Hg 0.608 0.174 0.611 1
Hg4 Hg 0.608 0.326 0.111 1
O1 O 0.072 0.243 0.589 1
O2 O 0.072 0.257 0.089 1
O3 O 0.928 0.743 0.911 1
O4 O 0.928 0.757 0.411 1
```

Properties
Spin magnetization, Bohr magnetons per cell: 0.00
E_form (uncorrected), eV/atom: -1.27
Space-group type: P2_1/c (14)
E, eV per atom: -6.120
Offset from the most stable computed form, meV/atom: 223



Record 3
TeMoS: optimized geometry, GGA-PBE.

```
data_TeMoS
_space_group_name_H-M_alt 'P 1'
_space_group_IT_number 1
_cell_length_a 3.324
_cell_length_b 3.324
_cell_length_c 15.153
_cell_angle_alpha 94.88
_cell_angle_beta 94.88
_cell_angle_gamma 60.00
loop_
_space_group_symop_operation_xyz
'x,y,z'
loop_
_atom_site_label
_atom_site_type_symbol
_atom_site_fract_x
_atom_site_fract_y
_atom_site_fract_z
_atom_site_occupancy
Te1 Te 0.000 0.000 0.000 1
Te2 Te 0.723 0.723 0.269 1
Mo1 Mo 0.091 0.091 0.403 1
Mo2 Mo 0.299 0.299 0.866 1
S1 S 0.450 0.450 0.501 1
S2 S 0.607 0.607 0.769 1
```

Properties
Spin magnetization, Bohr magnetons per cell: 0.00
E_form (uncorrected), eV/atom: -0.35
Space-group type: Cm (8)
E, eV per atom: -6.385



Record 4
Ga2CoNi: optimized geometry, GGA-PBE.

```
data_Ga2CoNi
_space_group_name_H-M_alt 'P 1'
_space_group_IT_number 1
_cell_length_a 4.086
_cell_length_b 4.086
_cell_length_c 2.935
_cell_angle_alpha 90.00
_cell_angle_beta 90.00
_cell_angle_gamma 90.00
loop_
_space_group_symop_operation_xyz
'x,y,z'
loop_
_atom_site_label
_atom_site_type_symbol
_atom_site_fract_x
_atom_site_fract_y
_atom_site_fract_z
_atom_site_occupancy
Ga1 Ga 0.000 0.500 0.000 1
Ga2 Ga 0.500 0.000 0.000 1
Co1 Co 0.000 0.000 0.500 1
Ni1 Ni 0.500 0.500 0.500 1
```

Properties
Spin magnetization, Bohr magnetons per cell: 0.71
Space-group type: P4/mmm (123)
E, eV per atom: -5.050
Formation enthalpy at 0 K, eV per atom: -0.31



Record 5
CaEu2I: optimized geometry, GGA-PBE.

```
data_CaEu2I
_space_group_name_H-M_alt 'P 1'
_space_group_IT_number 1
_cell_length_a 3.917
_cell_length_b 3.917
_cell_length_c 10.361
_cell_angle_alpha 90.00
_cell_angle_beta 90.00
_cell_angle_gamma 90.00
loop_
_space_group_symop_operation_xyz
'x,y,z'
loop_
_atom_site_label
_atom_site_type_symbol
_atom_site_fract_x
_atom_site_fract_y
_atom_site_fract_z
_atom_site_occupancy
Ca1 Ca 0.000 0.000 0.000 1
Eu1 Eu 0.500 0.500 0.280 1
Eu2 Eu 0.500 0.500 0.720 1
I1 I 0.000 0.000 0.500 1
```

Properties
Spin magnetization, Bohr magnetons per cell: 14.93
E_form (uncorrected), eV/atom: -0.49
Space-group type: P4/mmm (123)
E, eV per atom: -6.515



Record 6
SrCeInAg: optimized geometry, GGA-PBE.

```
data_SrCeInAg
_space_group_name_H-M_alt 'P 1'
_space_group_IT_number 1
_cell_length_a 5.513
_cell_length_b 5.513
_cell_length_c 5.513
_cell_angle_alpha 60.00
_cell_angle_beta 60.00
_cell_angle_gamma 60.00
loop_
_space_group_symop_operation_xyz
'x,y,z'
loop_
_atom_site_label
_atom_site_type_symbol
_atom_site_fract_x
_atom_site_fract_y
_atom_site_fract_z
_atom_site_occupancy
Sr1 Sr 0.000 0.000 0.000 1
Ce1 Ce 0.500 0.500 0.500 1
In1 In 0.750 0.750 0.750 1
Ag1 Ag 0.250 0.250 0.250 1
```

Properties
Spin magnetization, Bohr magnetons per cell: 0.83
Space-group type: F-43m (216)
E, eV per atom: -3.524
Formation enthalpy at 0 K, eV per atom: -0.22



Record 7
BaTe2Br: optimized geometry, GGA-PBE.

```
data_BaTe2Br
_space_group_name_H-M_alt 'P 1'
_space_group_IT_number 1
_cell_length_a 4.895
_cell_length_b 4.895
_cell_length_c 6.538
_cell_angle_alpha 90.00
_cell_angle_beta 90.00
_cell_angle_gamma 90.00
loop_
_space_group_symop_operation_xyz
'x,y,z'
loop_
_atom_site_label
_atom_site_type_symbol
_atom_site_fract_x
_atom_site_fract_y
_atom_site_fract_z
_atom_site_occupancy
Ba1 Ba 0.000 0.000 0.000 1
Te1 Te 0.500 0.500 0.210 1
Te2 Te 0.500 0.500 0.790 1
Br1 Br 0.000 0.000 0.500 1
```

Properties
Spin magnetization, Bohr magnetons per cell: 0.44
E_form (uncorrected), eV/atom: -0.96
Space-group type: P4/mmm (123)
E, eV per atom: -3.433
Offset from the most stable computed form, meV/atom: 269



Record 8
Dy2HoTh: optimized geometry, GGA-PBE.

```
data_Dy2HoTh
_space_group_name_H-M_alt 'P 1'
_space_group_IT_number 1
_cell_length_a 11.698
_cell_length_b 11.698
_cell_length_c 11.698
_cell_angle_alpha 17.51
_cell_angle_beta 17.51
_cell_angle_gamma 17.51
loop_
_space_group_symop_operation_xyz
'x,y,z'
loop_
_atom_site_label
_atom_site_type_symbol
_atom_site_fract_x
_atom_site_fract_y
_atom_site_fract_z
_atom_site_occupancy
Dy1 Dy 0.249 0.249 0.249 1
Dy2 Dy 0.751 0.751 0.751 1
Ho1 Ho 0.000 0.000 0.000 1
Th1 Th 0.500 0.500 0.500 1
```

Properties
Spin magnetization, Bohr magnetons per cell: 0.00
Space-group type: R-3m (166)
E, eV per atom: -5.276
Offset from the most stable computed form, meV/atom: 0
Formation enthalpy at 0 K, eV per atom: 0.02